P) ! BiAsPS2 GGA-PBE optimized geometry; values from VASP
&SYSTEM
  ibrav = 0, nat = 5, ntyp = 4
/
ATOMIC_SPECIES
S 32.06 S.upf
P 30.97 P.upf
As 74.92 As.upf
Bi 208.98 Bi.upf
CELL_PARAMETERS angstrom
-1.7608 -1.1173 -4.2939
4.1751 -1.9806 -1.1967
-1.5086 -4.2169 1.7159
ATOMIC_POSITIONS angstrom
S 2.0876 -0.9903 -0.5983
S -0.8804 -0.5587 -2.1470
P -0.7543 -2.1084 0.8580
As 0.0000 0.0000 0.0000
Bi 0.4529 -3.6574 -1.8873
! Calculated density = 5.76 Mg/m³
! DOS at the Fermi energy = 3.0 states/eV/f.u.
! Space group = No. 123

***

Q) ! BiAsPS2 GGA-PBE optimized geometry; values from VASP
&SYSTEM
  ibrav = 0, nat = 5, ntyp = 4
/
ATOMIC_SPECIES
S 32.06 S.upf
P 30.97 P.upf
As 74.92 As.upf
Bi 208.98 Bi.upf
CELL_PARAMETERS angstrom
5.0989 0.0000 0.0000
0.0000 5.0989 0.0000
0.0000 0.0000 5.3444
ATOMIC_POSITIONS angstrom
S 0.0000 2.5495 0.0000
S 2.5495 0.0000 0.0000
P 0.0000 0.0000 2.6722
As 2.5495 2.5495 2.6722
Bi 0.0000 0.0000 0.0000
! Calculated density = 4.53 Mg/m³
! DOS at the Fermi energy = 5.5 states/eV/f.u.
! Space group = No. 123

***

It comes down to P), which is 0.696 eV/atom more stable than the next structure.

***

P) ! BiAs2PSe GGA-PBE optimized geometry; values from VASP
&SYSTEM
  ibrav = 0, nat = 5, ntyp = 4
/
ATOMIC_SPECIES
P 30.97 P.upf
As 74.92 As.upf
Bi 208.98 Bi.upf
Se 78.96 Se.upf
CELL_PARAMETERS angstrom
5.4388 0.0000 0.0000
0.0000 5.4388 0.0000
0.0000 0.0000 5.3803
ATOMIC_POSITIONS angstrom
P 2.7194 2.7194 2.6901
As 0.0000 2.7194 0.0000
As 2.7194 0.0000 0.0000
Bi 0.0000 0.0000 0.0000
Se 0.0000 0.0000 2.6901
! Calculated density = 4.89 Mg/m³
! DOS at the Fermi energy = 7.8 states/eV/f.u.
! Space group = No. 123

***

Q) ! BiAs2PSe GGA-PBE optimized geometry; values from VASP
&SYSTEM
  ibrav = 0, nat = 5, ntyp = 4
/
ATOMIC_SPECIES
P 30.97 P.upf
As 74.92 As.upf
Bi 208.98 Bi.upf
Se 78.96 Se.upf
CELL_PARAMETERS angstrom
4.8167 0.0000 0.0000
0.0000 4.8167 0.0000
0.0000 0.0000 4.9487
ATOMIC_POSITIONS angstrom
P 0.0000 0.0000 0.0000
As 0.0000 2.4084 0.0000
As 2.4084 0.0000 0.0000
Bi 2.4084 2.4084 2.4743
Se 0.0000 0.0000 2.4743
! Calculated density = 6.78 Mg/m³
! DOS at the Fermi energy = 4.0 states/eV/f.u.
! Space group = No. 123

***

It comes down to Q), which is 0.969 eV/atom more stable than the next structure.

***

P) ! BiAs2Pb GGA-PBE optimized geometry; values from VASP
&SYSTEM
  ibrav = 0, nat = 8, ntyp = 3
/
ATOMIC_SPECIES
Bi 208.98 Bi.upf
As 74.92 As.upf
Pb 207.20 Pb.upf
CELL_PARAMETERS angstrom
-3.6261 -1.7793 -1.4317
2.9874 -4.9876 -1.3676
-1.5716 -3.0835 7.8123
ATOMIC_POSITIONS angstrom
Bi -2.8000 -2.8262 4.1905
Bi 0.9091 -3.6408 2.2221
As -1.3725 -2.6930 6.8227
As -0.5976 -1.1726 2.9707
As -1.2933 -5.2944 3.4419
As -0.5184 -3.7740 -0.4102
Pb 0.1181 -5.1928 6.1543
Pb -2.0090 -1.2741 0.2583
! Calculated density = 8.60 Mg/m³
! DOS at the Fermi energy = 2.8 states/eV/f.u.
! Space group = No. 59

***

Q) ! BiAs2Pb GGA-PBE optimized geometry; values from VASP
&SYSTEM
  ibrav = 0, nat = 4, ntyp = 3
/
ATOMIC_SPECIES
Bi 208.98 Bi.upf
As 74.92 As.upf
Pb 207.20 Pb.upf
CELL_PARAMETERS angstrom
4.1820 0.0000 0.0000
2.0910 3.6217 0.0000
2.0910 1.2072 7.3936
ATOMIC_POSITIONS angstrom
Bi 6.2730 3.6217 7.3083
As 2.0910 1.2072 5.6670
As 2.0910 1.2072 1.8758
Pb 4.1820 2.4145 3.6329
! Calculated density = 8.39 Mg/m³
! DOS at the Fermi energy = 2.6 states/eV/f.u.
! Space group = No. 160

***

It comes down to P), which is 0.035 eV/atom more stable than the next structure.

***

P) ! BiAs2Pb GGA-PBE optimized geometry; values from VASP
&SYSTEM
  ibrav = 0, nat = 8, ntyp = 3
/
ATOMIC_SPECIES
Pb 207.20 Pb.upf
As 74.92 As.upf
Bi 208.98 Bi.upf
CELL_PARAMETERS angstrom
-5.6073 -1.6920 -3.3087
-2.8761 -1.8170 5.8034
-6.5527 4.3849 2.0243
ATOMIC_POSITIONS angstrom
Pb -4.2417 -1.7545 1.2473
Pb -6.8353 0.4067 4.5375
As -5.4880 -0.1841 -0.8280
As -4.1510 -0.2552 3.7111
As -8.1032 1.9682 2.4685
As -12.3302 0.2230 3.6862
Bi 0.0000 0.0000 0.0000
Bi -8.2009 0.4692 -0.0186
! Calculated density = 6.29 Mg/m³
! DOS at the Fermi energy = 2.4 states/eV/f.u.
! Space group = No. 122

***

Q) ! BiAs2Pb GGA-PBE optimized geometry; values from VASP
&SYSTEM
  ibrav = 0, nat = 4, ntyp = 3
/
ATOMIC_SPECIES
Pb 207.20 Pb.upf
As 74.92 As.upf
Bi 208.98 Bi.upf
CELL_PARAMETERS angstrom
4.2707 0.0000 0.0000
2.1354 3.6986 0.0000
2.1354 1.2329 6.9171
ATOMIC_POSITIONS angstrom
Pb 4.2707 2.4657 3.4586
As 2.1354 1.2329 1.7058
As 6.4061 3.6986 5.2113
Bi 0.0000 0.0000 0.0000
! Calculated density = 8.60 Mg/m³
! DOS at the Fermi energy = 2.1 states/eV/f.u.
! Space group = No. 166

***

It comes down to Q), which is 0.171 eV/atom more stable than the next structure.